ZnInOs2, optimized geometry, DFT PBE; formation enthalpy at 0 K = 0.623 eV per atom; size of the total moment = 0.00 μB/f.u.; Fermi-level density of states = 3.8 states/eV/cell; calculated density = 14.55 g/cm³
1.0
4.869 -0.003 0.000
-1.952 4.461 0.000
0.000 0.000 2.947
In Os Zn
1 2 1
Cartesian
-0.976 2.230 1.473
0.000 0.000 0.000
1.459 2.229 0.000
2.434 -0.002 1.473